KMgTi3 | PBEsol | relaxed

Cell: 4.5412 4.5412 4.5412 Å, 90.00 90.00 90.00°
Last column: nearest neighbours and their distance in Å.
Space group Pm-3m (No. 221)
Asymmetric unit:
K 0.0000 0.0000 0.0000 (multiplicity 1)  6 Ti 2.27
Mg 0.5000 0.5000 0.5000 (multiplicity 1)  12 Ti 3.21
Ti 0.0000 0.0000 0.5000 (multiplicity 3)  2 K 2.27

Values from the calculation:
The polymorph energy (0 for the lowest one) is 0.211 eV per atom. Its density is 3.7 Mg/m³. For the energy of formation, the calculation gives 8.8 eV/f.u. The value obtained for the density of states at the Fermi level is 7.7 states/eV/f.u.


CrInCu2 | PBEsol | relaxed

Cell: 5.3675 8.7999 2.8210 Å, 90.00 116.74 90.00°
Last column: nearest neighbours and their distance in Å.
Space group C2/m (No. 12)
Asymmetric unit:
Cr 0.0000 0.0000 0.0000 (multiplicity 2)  4 Cu 2.63, 4 In 2.68-2.89, 2 Cr 2.82
In 0.0000 0.5000 0.0000 (multiplicity 2)  4 Cu 2.63, 4 Cr 2.68-2.89, 2 In 2.82
Cu 0.2500 0.2500 0.5000 (multiplicity 4)  2 Cr 2.63, 2 In 2.63, 6 Cu 2.68-2.89

Values from the calculation:
Its density is 8.2 Mg/m³. For the energy of formation, the calculation gives 1.7 eV/f.u. The value obtained for the density of states at the Fermi level is 2.1 states/eV/f.u.


YAuO2 | PBEsol | relaxed

Cell: 3.5317 3.5317 11.9636 Å, 90.00 90.00 120.00°
Last column: nearest neighbours and their distance in Å.
Space group P6_3/mmc (No. 194)
Asymmetric unit:
Y 0.0000 0.0000 0.0000 (multiplicity 2)  6 O 2.26
Au 0.3333 0.6667 0.2500 (multiplicity 2)  2 O 2.01
O 0.3333 0.6667 0.0823 (multiplicity 4)  1 Au 2.01

Values from the calculation:
As for the raw formation energy: -2.25 eV per atom. Its density is 8.2 Mg/m³. The value obtained for the density of states at the Fermi level is 0.0 states/eV/f.u.


Zr2MnAu | PBEsol | relaxed

Cell: 3.3498 3.3498 6.5134 Å, 90.00 90.00 90.00°
Last column: nearest neighbours and their distance in Å.
Space group P4mm (No. 99)
Asymmetric unit:
Zr 0.0000 0.0000 0.0000 (multiplicity 1)  4 Mn 2.79, 1 Au 2.97, 4 Zr 3.06
Zr 0.5000 0.5000 0.2974 (multiplicity 1)  4 Au 2.86, 4 Zr 3.06, 1 Mn 3.09
Mn 0.5000 0.5000 0.7725 (multiplicity 1)  5 Zr 2.79-3.09, 4 Au 2.80
Au 0.0000 0.0000 0.5440 (multiplicity 1)  4 Mn 2.80, 5 Zr 2.86-2.97

Values from the calculation:
The polymorph energy (0 for the lowest one) is 0.178 eV per atom. Its density is 9.9 Mg/m³. For the energy of formation, the calculation gives -0.6 eV/f.u. The value obtained for the density of states at the Fermi level is 3.9 states/eV/f.u.


Be2AlFe | PBEsol | relaxed

Cell: 3.4604 3.4604 3.3773 Å, 90.00 90.00 90.00°
Last column: nearest neighbours and their distance in Å.
Space group P4/mmm (No. 123)
Asymmetric unit:
Be 0.0000 0.5000 0.0000 (multiplicity 2)  4 Fe 2.42, 4 Al 2.42, 4 Be 2.45
Al 0.0000 0.0000 0.5000 (multiplicity 1)  8 Be 2.42, 4 Fe 2.45
Fe 0.5000 0.5000 0.5000 (multiplicity 1)  8 Be 2.42, 4 Al 2.45

Values from the calculation:
Its density is 4.1 Mg/m³. For the energy of formation, the calculation gives -0.5 eV/f.u. The value obtained for the density of states at the Fermi level is 2.2 states/eV/f.u.


KLaZr2 | PBEsol | relaxed

Cell: 3.2616 3.2616 11.6981 Å, 90.00 90.00 90.00°
Last column: nearest neighbours and their distance in Å.
Space group P4mm (No. 99)
Asymmetric unit:
K 0.0000 0.0000 0.0000 (multiplicity 1)  4 K 3.26
La 0.5000 0.5000 0.3205 (multiplicity 1)  4 La 3.26, 4 Zr 3.43
Zr 0.0000 0.0000 0.5372 (multiplicity 1)  8 Zr 3.07-3.26, 4 La 3.43
Zr 0.5000 0.5000 0.7110 (multiplicity 1)  8 Zr 3.07-3.26

Values from the calculation:
The polymorph energy (0 for the lowest one) is 0.000 eV per atom. Its density is 4.8 Mg/m³. For the energy of formation, the calculation gives 1.4 eV/f.u. The value obtained for the density of states at the Fermi level is 5.2 states/eV/f.u.


Ba4PrErCu6O14 | PBEsol | relaxed

Cell: 3.8197 3.8781 23.1230 Å, 90.00 90.00 90.00°
Last column: nearest neighbours and their distance in Å.
Space group Pmmm (No. 47)
Asymmetric unit:
Ba 0.0000 0.0000 0.1570 (multiplicity 2)  10 O 2.73-2.98
Ba 0.0000 0.0000 0.3379 (multiplicity 2)  10 O 2.73-2.95
Pr 0.0000 0.0000 0.5000 (multiplicity 1)  8 O 2.46-2.47
Er 0.0000 0.0000 0.0000 (multiplicity 1)  8 O 2.36-2.38
Cu 0.5000 0.5000 0.0721 (multiplicity 2)  4 O 1.93-1.96
Cu 0.5000 0.5000 0.2471 (multiplicity 2)  4 O 1.85-1.94
Cu 0.5000 0.5000 0.4213 (multiplicity 2)  4 O 1.93-1.96
O 0.0000 0.5000 0.0594 (multiplicity 2)  2 Cu 1.93
O 0.0000 0.5000 0.4338 (multiplicity 2)  2 Cu 1.93
O 0.5000 0.0000 0.0596 (multiplicity 2)  2 Cu 1.96
O 0.5000 0.0000 0.2468 (multiplicity 2)  2 Cu 1.94
O 0.5000 0.0000 0.4332 (multiplicity 2)  2 Cu 1.96
O 0.5000 0.5000 0.1669 (multiplicity 2)  1 Cu 1.86
O 0.5000 0.5000 0.3273 (multiplicity 2)  1 Cu 1.85

Values from the calculation:
As for the raw formation energy: -1.83 eV per atom. Its density is 7.1 Mg/m³. The value obtained for the density of states at the Fermi level is 11.3 states/eV/f.u.


Zr5Sc4 | PBEsol | relaxed

Cell: 8.5564 8.5564 6.3249 Å, 90.00 90.00 120.00°
Last column: nearest neighbours and their distance in Å.
Space group P6_3/mcm (No. 193)
Asymmetric unit:
Zr 0.0000 0.3383 0.2500 (multiplicity 6)  3 Sc 2.82-2.87
Zr 0.3333 0.6667 0.0000 (multiplicity 4)  8 Zr 3.16-3.24, 6 Sc 3.27
Sc 0.0000 0.0000 0.0000 (multiplicity 2)  8 Sc 3.16-3.25, 6 Zr 3.30
Sc 0.0000 0.3321 0.7500 (multiplicity 6)  3 Zr 2.82-2.87

Values from the calculation:
The polymorph energy (0 for the lowest one) is 0.005 eV per atom. Its density is 5.3 Mg/m³. For the energy of formation, the calculation gives 0.2 eV/f.u. The value obtained for the density of states at the Fermi level is 11.9 states/eV/f.u.


Li3HgBr | PBEsol | relaxed

Cell: 4.8170 4.8170 4.8170 Å, 90.00 90.00 90.00°
Last column: nearest neighbours and their distance in Å.
Space group Pm-3m (No. 221)
Asymmetric unit:
Li 0.0000 0.0000 0.5000 (multiplicity 3)  2 Br 2.41
Hg 0.5000 0.5000 0.5000 (multiplicity 1)  12 Li 3.41
Br 0.0000 0.0000 0.0000 (multiplicity 1)  6 Li 2.41

Values from the calculation:
As for the raw formation energy: -0.50 eV per atom. Its density is 4.5 Mg/m³. The value obtained for the density of states at the Fermi level is 2.5 states/eV/f.u.


TlPtC3 | PBEsol | relaxed

Cell: 4.2472 4.2472 4.2472 Å, 90.00 90.00 90.00°
Last column: nearest neighbours and their distance in Å.
Space group Pm-3m (No. 221)
Asymmetric unit:
Tl 0.0000 0.0000 0.0000 (multiplicity 1)  6 C 2.12
Pt 0.5000 0.5000 0.5000 (multiplicity 1)  12 C 3.00
C 0.0000 0.0000 0.5000 (multiplicity 3)  2 Tl 2.12

Values from the calculation:
Its density is 9.4 Mg/m³. For the energy of formation, the calculation gives 18.9 eV/f.u. The value obtained for the density of states at the Fermi level is 3.3 states/eV/f.u.


Li2MnCoO4 | PBEsol | relaxed

Cell: 10.1629 5.7320 4.8710 Å, 90.00 108.73 90.00°
Last column: nearest neighbours and their distance in Å.
Space group C2/c (No. 15)
Asymmetric unit:
Li 0.2494 0.1242 0.2515 (multiplicity 8)  6 O 2.00-2.15
Mn 0.0000 0.1288 0.7500 (multiplicity 4)  6 O 1.90-1.95
Co 0.0000 0.3957 0.2500 (multiplicity 4)  6 O 2.00-2.11
O 0.1101 0.1144 0.4998 (multiplicity 8)  2 Mn 1.90-1.95, 1 Li 2.06, 1 Co 2.11
O 0.1207 0.3550 0.9904 (multiplicity 8)  1 Mn 1.91, 2 Co 2.00-2.04, 2 Li 2.00-2.04

Values from the calculation:
As for the raw formation energy: -1.64 eV per atom. The polymorph energy (0 for the lowest one) is 0.022 eV per atom. Its density is 4.7 Mg/m³. The value obtained for the density of states at the Fermi level is 1.6 states/eV/f.u.


LiZn4Au | PBEsol | relaxed

Cell: 7.0076 7.0076 7.0076 Å, 90.00 90.00 90.00°
Last column: nearest neighbours and their distance in Å.
Space group F-43m (No. 216)
Asymmetric unit:
Li 0.0000 0.0000 0.0000 (multiplicity 4)  12 Zn 2.91, 4 Au 3.03
Zn 0.1249 0.1249 0.3751 (multiplicity 16)  6 Zn 2.48
Au 0.2500 0.2500 0.7500 (multiplicity 4)  12 Zn 2.91, 4 Li 3.03

Values from the calculation:
Its density is 9.0 Mg/m³. For the energy of formation, the calculation gives -1.4 eV/f.u. The value obtained for the density of states at the Fermi level is 0.9 states/eV/f.u.


Ta2Co2Os | PBEsol | relaxed

Cell: 6.6293 6.6293 3.1143 Å, 90.00 90.00 90.00°
Last column: nearest neighbours and their distance in Å.
Space group P4/mbm (No. 127)
Asymmetric unit:
Ta 0.1802 0.3198 0.0000 (multiplicity 4)  6 Co 2.42-2.56
Co 0.1216 0.6216 0.5000 (multiplicity 4)  1 Co 2.28, 2 Ta 2.42
Os 0.0000 0.0000 0.5000 (multiplicity 2)  4 Co 2.63, 8 Ta 2.89

Values from the calculation:
Its density is 16.3 Mg/m³. For the energy of formation, the calculation gives -1.1 eV/f.u. The value obtained for the density of states at the Fermi level is 5.9 states/eV/f.u.


RbTaOs3 | PBEsol | relaxed

Cell: 4.8563 4.8563 4.8563 Å, 90.00 90.00 90.00°
Last column: nearest neighbours and their distance in Å.
Space group Pm-3m (No. 221)
Asymmetric unit:
Rb 0.0000 0.0000 0.0000 (multiplicity 1)  12 Os 3.43
Ta 0.5000 0.5000 0.5000 (multiplicity 1)  6 Os 2.43
Os 0.0000 0.5000 0.5000 (multiplicity 3)  2 Ta 2.43

Values from the calculation:
Its density is 12.1 Mg/m³. For the energy of formation, the calculation gives 11.3 eV/f.u. The value obtained for the density of states at the Fermi level is 6.7 states/eV/f.u.


SnOsNF2 | PBEsol | relaxed

Cell: 4.1788 4.1788 4.0724 Å, 90.00 90.00 90.00°
Last column: nearest neighbours and their distance in Å.
Space group P4/mmm (No. 123)
Asymmetric unit:
Sn 0.0000 0.0000 0.0000 (multiplicity 1)  2 N 2.04, 4 F 2.09
Os 0.5000 0.5000 0.5000 (multiplicity 1)  8 F 2.92, 4 N 2.95
N 0.0000 0.0000 0.5000 (multiplicity 1)  2 Sn 2.04
F 0.0000 0.5000 0.0000 (multiplicity 2)  2 Sn 2.09

Values from the calculation:
As for the raw formation energy: 0.61 eV per atom. Its density is 8.4 Mg/m³. The value obtained for the density of states at the Fermi level is 4.9 states/eV/f.u.


KBeMo2 | PBEsol | relaxed

Cell: 5.3455 10.1282 2.5190 Å, 90.00 90.00 90.00°
Last column: nearest neighbours and their distance in Å.
Space group Cmmm (No. 65)
Asymmetric unit:
K 0.0000 0.0000 0.0000 (multiplicity 2)  2 K 2.52, 2 Be 2.67
Be 0.0000 0.5000 0.0000 (multiplicity 2)  2 Be 2.52, 2 K 2.67
Mo 0.2500 0.2500 0.5000 (multiplicity 4)  4 Mo 2.52-2.67

Values from the calculation:
Its density is 5.8 Mg/m³. For the energy of formation, the calculation gives 5.9 eV/f.u. The value obtained for the density of states at the Fermi level is 2.8 states/eV/f.u.


Li2MgRh | PBEsol | relaxed

Cell: 3.7442 3.7442 4.2112 Å, 90.00 90.00 90.00°
Last column: nearest neighbours and their distance in Å.
Space group P4/mmm (No. 123)
Asymmetric unit:
Li 0.0000 0.5000 0.0000 (multiplicity 2)  4 Li 2.65, 4 Mg 2.82, 4 Rh 2.82
Mg 0.0000 0.0000 0.5000 (multiplicity 1)  4 Rh 2.65, 8 Li 2.82
Rh 0.5000 0.5000 0.5000 (multiplicity 1)  4 Mg 2.65, 8 Li 2.82

Values from the calculation:
Its density is 4.0 Mg/m³. For the energy of formation, the calculation gives -0.5 eV/f.u. The value obtained for the density of states at the Fermi level is 1.9 states/eV/f.u.


Rb8AlAu3O4 | PBEsol | relaxed

Cell: 10.3817 12.8109 13.0959 Å, 90.00 90.00 90.00°
Last column: nearest neighbours and their distance in Å.
Space group P2_12_12_1 (No. 19)
Asymmetric unit:
Rb 0.0117 0.2492 0.1376 (multiplicity 4)  3 O 2.81-2.98, 1 Al 3.03
Rb 0.0283 0.5458 0.9848 (multiplicity 4)  2 O 2.70-2.73
Rb 0.1010 0.9566 0.0094 (multiplicity 4)  2 O 2.71-2.72
Rb 0.1115 0.2654 0.8501 (multiplicity 4)  1 O 2.61
Rb 0.1462 0.3071 0.5623 (multiplicity 4)  3 O 2.73-2.91
Rb 0.1597 0.5290 0.2648 (multiplicity 4)  3 O 2.68-2.83
Rb 0.1824 0.9610 0.2674 (multiplicity 4)  3 O 2.79-2.88
Rb 0.2347 0.7474 0.8176 (multiplicity 4)  3 O 2.78-2.83
Al 0.0591 0.7457 0.1377 (multiplicity 4)  4 O 1.80-1.81
Au 0.0290 0.5264 0.7134 (multiplicity 4)  1 Au 2.80
Au 0.1821 0.6175 0.5612 (multiplicity 4)  2 Au 2.80
Au 0.1940 0.8352 0.5507 (multiplicity 4)  1 Au 2.80
O 0.0303 0.3630 0.3357 (multiplicity 4)  1 Al 1.80
O 0.0416 0.1339 0.3338 (multiplicity 4)  1 Al 1.81
O 0.1092 0.7448 0.0057 (multiplicity 4)  1 Al 1.81
O 0.1950 0.7441 0.2235 (multiplicity 4)  1 Al 1.80

Values from the calculation:
As for the raw formation energy: -1.10 eV per atom. Its density is 5.2 Mg/m³.


Rb3ReAu | PBEsol | relaxed

Cell: 6.2596 6.2596 6.2596 Å, 90.00 90.00 90.00°
Last column: nearest neighbours and their distance in Å.
Space group Pm-3m (No. 221)
Asymmetric unit:
Rb 0.0000 0.0000 0.5000 (multiplicity 3)  2 Re 3.13
Re 0.0000 0.0000 0.0000 (multiplicity 1)  6 Rb 3.13
Au 0.5000 0.5000 0.5000 (multiplicity 1)  12 Rb 4.43

Values from the calculation:
Its density is 4.3 Mg/m³. For the energy of formation, the calculation gives 7.7 eV/f.u. The value obtained for the density of states at the Fermi level is 7.3 states/eV/f.u.


Zn2CrTc | PBEsol | relaxed

Cell: 5.9809 5.9809 5.9809 Å, 90.00 90.00 90.00°
Last column: nearest neighbours and their distance in Å.
Space group Fm-3m (No. 225)
Asymmetric unit:
Zn 0.2500 0.2500 0.2500 (multiplicity 8)  4 Cr 2.59, 4 Tc 2.59
Cr 0.0000 0.0000 0.0000 (multiplicity 4)  8 Zn 2.59
Tc 0.0000 0.0000 0.5000 (multiplicity 4)  8 Zn 2.59

Values from the calculation:
The polymorph energy (0 for the lowest one) is 0.300 eV per atom. Its density is 8.7 Mg/m³. For the energy of formation, the calculation gives 1.4 eV/f.u. The value obtained for the density of states at the Fermi level is 5.9 states/eV/f.u.